! SbPtSe GGA-PBE optimized geometry; values from VASP
! Formation energy (no corrections) (eV/atom): -0.367
&SYSTEM
  ibrav = 0, nat = 3, ntyp = 3
/
ATOMIC_SPECIES
Pt 195.08 Pt.upf
Se 78.96 Se.upf
Sb 121.76 Sb.upf
ATOMIC_POSITIONS crystal
Pt 0.667 0.333 0.329
Se 0.000 0.000 0.066
Sb 0.333 0.667 0.605
CELL_PARAMETERS angstrom
-0.954 -3.702 0.954
3.672 1.302 0.586
-1.266 1.507 4.582

---

! Sn2SbPtSe GGA-PBE optimized geometry; values from VASP
! Formation energy (no corrections) (eV/atom): 0.824
&SYSTEM
  ibrav = 0, nat = 5, ntyp = 4
/
ATOMIC_SPECIES
Se 78.96 Se.upf
Sb 121.76 Sb.upf
Pt 195.08 Pt.upf
Sn 118.71 Sn.upf
ATOMIC_POSITIONS crystal
Se 0.000 0.000 0.000
Sb 0.000 0.500 0.000
Pt 0.500 0.500 0.500
Sn 0.500 0.000 0.000
Sn 0.000 0.000 0.500
CELL_PARAMETERS angstrom
5.424 0.000 0.000
0.000 5.274 0.000
0.000 0.000 5.424

---

! Tb6SbPt2Se3 GGA-PBE optimized geometry; values from VASP
! Formation energy (no corrections) (eV/atom): -1.457
&SYSTEM
  ibrav = 0, nat = 12, ntyp = 4
/
ATOMIC_SPECIES
Pt 195.08 Pt.upf
Tb 158.93 Tb.upf
Se 78.96 Se.upf
Sb 121.76 Sb.upf
ATOMIC_POSITIONS crystal
Pt 0.170 0.344 0.339
Tb 0.330 0.421 0.659
Tb 0.670 0.579 0.341
Tb 0.993 0.737 0.986
Se 0.500 0.500 0.000
Pt 0.830 0.656 0.661
Tb 0.327 0.888 0.654
Sb 0.500 0.000 0.000
Tb 0.007 0.263 0.014
Se 0.161 0.842 0.322
Se 0.839 0.158 0.678
Tb 0.673 0.112 0.346
CELL_PARAMETERS angstrom
4.100 0.000 0.000
0.000 8.525 0.114
-2.050 -2.656 8.842

---

! Th4Sb2PtSe GGA-PBE optimized geometry; values from VASP
! Formation energy (no corrections) (eV/atom): -1.144
&SYSTEM
  ibrav = 0, nat = 8, ntyp = 4
/
ATOMIC_SPECIES
Th 232.04 Th.upf
Pt 195.08 Pt.upf
Se 78.96 Se.upf
Sb 121.76 Sb.upf
ATOMIC_POSITIONS crystal
Th 0.500 0.276 0.728
Th 0.000 0.730 0.753
Pt 0.000 0.500 0.500
Se 0.500 0.500 0.000
Th 0.500 0.724 0.272
Th 0.000 0.270 0.247
Sb 0.500 0.000 0.500
Sb 0.000 0.000 0.000
CELL_PARAMETERS angstrom
4.240 0.000 0.000
0.000 7.751 -0.237
0.000 2.649 7.108

---

! VSb2PtSe GGA-PBE optimized geometry; values from VASP
! Formation energy (no corrections) (eV/atom): 0.880
&SYSTEM
  ibrav = 0, nat = 5, ntyp = 4
/
ATOMIC_SPECIES
Sb 121.76 Sb.upf
V 50.94 V.upf
Pt 195.08 Pt.upf
Se 78.96 Se.upf
ATOMIC_POSITIONS crystal
Sb 0.500 0.000 0.000
V 0.000 0.500 0.000
Pt 0.500 0.500 0.500
Sb 0.000 0.000 0.500
Se 0.000 0.000 0.000
CELL_PARAMETERS angstrom
5.345 0.000 0.000
0.000 4.540 0.000
0.000 0.000 5.345

---

! Si2SbPt GGA-PBE optimized geometry; values from VASP
! Formation energy (no corrections) (eV/atom): -0.060
&SYSTEM
  ibrav = 0, nat = 4, ntyp = 3
/
ATOMIC_SPECIES
Si 28.09 Si.upf
Sb 121.76 Sb.upf
Pt 195.08 Pt.upf
ATOMIC_POSITIONS crystal
Si 0.743 0.743 0.738
Sb 0.282 0.282 0.290
Si 0.976 0.976 0.917
Pt 0.500 0.500 0.556
CELL_PARAMETERS angstrom
4.113 -0.012 0.018
2.526 3.245 0.018
2.080 1.013 5.777

---

! Si2SbPt GGA-PBE optimized geometry; values from VASP
! Formation energy (no corrections) (eV/atom): -0.060
&SYSTEM
  ibrav = 0, nat = 4, ntyp = 3
/
ATOMIC_SPECIES
Pt 195.08 Pt.upf
Sb 121.76 Sb.upf
Si 28.09 Si.upf
ATOMIC_POSITIONS crystal
Pt 0.500 0.250 0.250
Sb 0.500 0.750 0.750
Si 0.000 0.488 0.404
Si 0.000 0.012 0.096
CELL_PARAMETERS angstrom
4.162 0.000 0.000
0.000 4.236 -0.047
0.000 0.785 4.401

---

! SiSbPt2 GGA-PBE optimized geometry; values from VASP
! Formation energy (no corrections) (eV/atom): -0.250
! Energy relative to the lowest polymorph listed for this composition (eV per atom): 0.286
&SYSTEM
  ibrav = 0, nat = 4, ntyp = 3
/
ATOMIC_SPECIES
Si 28.09 Si.upf
Pt 195.08 Pt.upf
Sb 121.76 Sb.upf
ATOMIC_POSITIONS crystal
Si 0.500 0.500 0.750
Pt 0.000 0.000 0.561
Pt 0.000 0.000 0.939
Sb 0.500 0.500 0.250
CELL_PARAMETERS angstrom
-1.048 0.280 -2.864
2.322 -1.718 -1.017
-4.127 -6.119 0.912

---

! SiSbPt2 GGA-PBE optimized geometry; values from VASP
! Formation energy (no corrections) (eV/atom): -0.536
! Energy relative to the lowest polymorph listed for this composition (eV per atom): 0.000
&SYSTEM
  ibrav = 0, nat = 32, ntyp = 3
/
ATOMIC_SPECIES
Pt 195.08 Pt.upf
Si 28.09 Si.upf
Sb 121.76 Sb.upf
ATOMIC_POSITIONS crystal
Pt 0.514 0.302 0.348
Si 0.185 0.072 0.946
Sb 0.175 0.084 0.187
Pt 0.495 0.701 0.449
Pt 0.014 0.198 0.348
Sb 0.175 0.584 0.313
Si 0.185 0.572 0.554
Pt 0.486 0.698 0.652
Sb 0.825 0.416 0.687
Pt 0.995 0.799 0.449
Sb 0.325 0.584 0.813
Si 0.315 0.572 0.054
Pt 0.495 0.201 0.051
Pt 0.005 0.701 0.949
Sb 0.675 0.416 0.187
Pt 0.514 0.802 0.152
Si 0.315 0.072 0.446
Sb 0.675 0.916 0.313
Sb 0.825 0.916 0.813
Si 0.815 0.928 0.054
Sb 0.325 0.084 0.687
Pt 0.505 0.799 0.949
Pt 0.014 0.698 0.152
Si 0.815 0.428 0.446
Pt 0.986 0.802 0.652
Pt 0.005 0.201 0.551
Pt 0.995 0.299 0.051
Si 0.685 0.928 0.554
Pt 0.486 0.198 0.848
Pt 0.505 0.299 0.551
Si 0.685 0.428 0.946
Pt 0.986 0.302 0.848
CELL_PARAMETERS angstrom
5.657 0.000 0.000
0.000 6.409 0.000
0.000 0.000 16.146

---

! Si2SbPt2 GGA-PBE optimized geometry; values from VASP
! Formation energy (no corrections) (eV/atom): -0.161
! Energy relative to the lowest polymorph listed for this composition (eV per atom): 0.211
&SYSTEM
  ibrav = 0, nat = 10, ntyp = 3
/
ATOMIC_SPECIES
Sb 121.76 Sb.upf
Pt 195.08 Pt.upf
Si 28.09 Si.upf
ATOMIC_POSITIONS crystal
Sb 0.000 0.000 0.000
Pt 0.864 0.636 0.000
Sb 0.500 0.500 0.000
Pt 0.364 0.864 0.000
Pt 0.136 0.364 0.000
Si 0.855 0.355 0.500
Si 0.355 0.145 0.500
Pt 0.636 0.136 0.000
Si 0.145 0.645 0.500
Si 0.645 0.855 0.500
CELL_PARAMETERS angstrom
7.566 0.000 0.000
0.000 7.566 0.000
0.000 0.000 3.003

---

! SiSbPt2 GGA-PBE optimized geometry; values from VASP
! Formation energy (no corrections) (eV/atom): -0.063
! Energy relative to the lowest polymorph listed for this composition (eV per atom): 0.473
&SYSTEM
  ibrav = 0, nat = 4, ntyp = 3
/
ATOMIC_SPECIES
Pt 195.08 Pt.upf
Sb 121.76 Sb.upf
Si 28.09 Si.upf
ATOMIC_POSITIONS crystal
Pt 0.500 0.000 0.500
Pt 0.000 0.000 0.000
Sb 0.000 0.500 0.500
Si 0.500 0.500 0.000
CELL_PARAMETERS angstrom
4.643 0.024 0.042
-1.698 4.320 0.038
1.248 2.263 3.866

---

! Si2SbPt GGA-PBE optimized geometry; values from VASP
! Formation energy (no corrections) (eV/atom): 0.094
&SYSTEM
  ibrav = 0, nat = 4, ntyp = 3
/
ATOMIC_SPECIES
Si 28.09 Si.upf
Pt 195.08 Pt.upf
Sb 121.76 Sb.upf
ATOMIC_POSITIONS crystal
Si 0.000 0.000 0.077
Si 0.500 0.500 0.255
Pt 0.000 0.000 0.449
Sb 0.500 0.500 0.719
CELL_PARAMETERS angstrom
3.191 0.000 0.000
0.000 3.192 0.000
0.000 0.000 7.165

---

! Si2SbPt GGA-PBE optimized geometry; values from VASP
! Formation energy (no corrections) (eV/atom): -0.059
&SYSTEM
  ibrav = 0, nat = 4, ntyp = 3
/
ATOMIC_SPECIES
Pt 195.08 Pt.upf
Si 28.09 Si.upf
Sb 121.76 Sb.upf
ATOMIC_POSITIONS crystal
Pt 0.750 0.750 0.750
Si 0.486 0.486 0.567
Si 0.014 0.014 0.933
Sb 0.250 0.250 0.250
CELL_PARAMETERS angstrom
-2.984 0.865 -2.562
-2.766 -2.588 -1.366
-4.982 0.854 3.369

---

! SiSbPt4 GGA-PBE optimized geometry; values from VASP
! Formation energy (no corrections) (eV/atom): 0.112
&SYSTEM
  ibrav = 0, nat = 6, ntyp = 3
/
ATOMIC_SPECIES
Sb 121.76 Sb.upf
Pt 195.08 Pt.upf
Si 28.09 Si.upf
ATOMIC_POSITIONS crystal
Sb 0.750 0.750 0.750
Pt 0.876 0.375 0.375
Si 0.000 0.000 0.000
Pt 0.375 0.375 0.876
Pt 0.375 0.375 0.375
Pt 0.375 0.876 0.375
CELL_PARAMETERS angstrom
0.000 3.779 3.779
3.779 0.000 3.779
3.779 3.779 0.000

---

! SiSbPt2 GGA-PBE optimized geometry; values from VASP
! Formation energy (no corrections) (eV/atom): -0.019
! Energy relative to the lowest polymorph listed for this composition (eV per atom): 0.516
&SYSTEM
  ibrav = 0, nat = 4, ntyp = 3
/
ATOMIC_SPECIES
Pt 195.08 Pt.upf
Sb 121.76 Sb.upf
Si 28.09 Si.upf
ATOMIC_POSITIONS crystal
Pt 0.000 0.000 0.000
Sb 0.500 0.000 0.500
Si 0.000 0.500 0.500
Pt 0.500 0.500 0.000
CELL_PARAMETERS angstrom
4.498 0.000 0.000
0.000 4.494 0.000
0.000 0.000 3.469

---

! SiSbPt2 GGA-PBE optimized geometry; values from VASP
! Formation energy (no corrections) (eV/atom): -0.237
! Energy relative to the lowest polymorph listed for this composition (eV per atom): 0.298
&SYSTEM
  ibrav = 0, nat = 4, ntyp = 3
/
ATOMIC_SPECIES
Pt 195.08 Pt.upf
Sb 121.76 Sb.upf
Si 28.09 Si.upf
ATOMIC_POSITIONS crystal
Pt 0.000 0.959 0.959
Sb 0.500 0.250 0.250
Si 0.500 0.750 0.750
Pt 0.000 0.541 0.541
CELL_PARAMETERS angstrom
3.800 0.000 0.000
0.000 4.519 -0.019
0.000 1.100 4.379

---

! SiSbPt2 GGA-PBE optimized geometry; values from VASP
! Formation energy (no corrections) (eV/atom): -0.419
! Energy relative to the lowest polymorph listed for this composition (eV per atom): 0.116
&SYSTEM
  ibrav = 0, nat = 4, ntyp = 3
/
ATOMIC_SPECIES
Sb 121.76 Sb.upf
Si 28.09 Si.upf
Pt 195.08 Pt.upf
ATOMIC_POSITIONS crystal
Sb 0.250 0.250 0.250
Si 0.750 0.750 0.750
Pt 0.477 0.477 0.573
Pt 0.023 0.023 0.927
CELL_PARAMETERS angstrom
3.842 -0.018 0.009
1.923 3.327 0.009
1.917 1.100 5.825

---

! SiSbPt2 GGA-PBE optimized geometry; values from VASP
! Formation energy (no corrections) (eV/atom): -0.347
! Energy relative to the lowest polymorph listed for this composition (eV per atom): 0.189
&SYSTEM
  ibrav = 0, nat = 4, ntyp = 3
/
ATOMIC_SPECIES
Pt 195.08 Pt.upf
Si 28.09 Si.upf
Sb 121.76 Sb.upf
ATOMIC_POSITIONS crystal
Pt 0.767 0.267 0.500
Si 0.209 0.709 0.500
Pt 0.075 0.075 0.000
Sb 0.450 0.450 0.000
CELL_PARAMETERS angstrom
6.918 1.602 -0.243
4.402 5.572 0.243
-5.450 -3.918 2.330

---

! Si2SbPt GGA-PBE optimized geometry; values from VASP
! Formation energy (no corrections) (eV/atom): 0.317
&SYSTEM
  ibrav = 0, nat = 4, ntyp = 3
/
ATOMIC_SPECIES
Si 28.09 Si.upf
Pt 195.08 Pt.upf
Sb 121.76 Sb.upf
ATOMIC_POSITIONS crystal
Si 0.000 0.000 0.000
Si 0.500 0.500 0.000
Pt 0.250 0.750 0.500
Sb 0.750 0.250 0.500
CELL_PARAMETERS angstrom
-0.107 4.622 -1.651
-1.958 -0.477 -4.477
-1.765 -1.714 4.249

---

! SiSbPt2 GGA-PBE optimized geometry; values from VASP
! Formation energy (no corrections) (eV/atom): -0.134
! Energy relative to the lowest polymorph listed for this composition (eV per atom): 0.401
&SYSTEM
  ibrav = 0, nat = 4, ntyp = 3
/
ATOMIC_SPECIES
Si 28.09 Si.upf
Pt 195.08 Pt.upf
Sb 121.76 Sb.upf
ATOMIC_POSITIONS crystal
Si 0.250 0.750 0.500
Pt 0.452 0.452 0.000
Sb 0.750 0.250 0.500
Pt 0.048 0.048 0.000
CELL_PARAMETERS angstrom
4.841 -0.003 -0.006
0.272 4.833 0.006
-1.878 -3.133 3.176

---

! Si2SbPt GGA-PBE optimized geometry; values from VASP
! Formation energy (no corrections) (eV/atom): 0.241
&SYSTEM
  ibrav = 0, nat = 4, ntyp = 3
/
ATOMIC_SPECIES
Pt 195.08 Pt.upf
Sb 121.76 Sb.upf
Si 28.09 Si.upf
ATOMIC_POSITIONS crystal
Pt 0.532 0.532 0.000
Sb 0.275 0.775 0.500
Si 0.734 0.234 0.500
Si 0.960 0.960 0.000
CELL_PARAMETERS angstrom
5.758 0.036 -0.008
2.623 5.126 0.008
-3.357 -3.934 2.531

---

! SiSbPt2 GGA-PBE optimized geometry; values from VASP
! Formation energy (no corrections) (eV/atom): -0.409
! Energy relative to the lowest polymorph listed for this composition (eV per atom): 0.126
&SYSTEM
  ibrav = 0, nat = 4, ntyp = 3
/
ATOMIC_SPECIES
Sb 121.76 Sb.upf
Pt 195.08 Pt.upf
Si 28.09 Si.upf
ATOMIC_POSITIONS crystal
Sb 0.521 0.521 0.477
Pt 0.013 0.013 0.874
Si 0.713 0.713 0.931
Pt 0.253 0.253 0.218
CELL_PARAMETERS angstrom
-0.092 -4.316 -0.559
2.360 -2.645 -2.527
3.819 -1.133 3.796

---

! SiSbPt2 GGA-PBE optimized geometry; values from VASP
! Formation energy (no corrections) (eV/atom): -0.290
! Energy relative to the lowest polymorph listed for this composition (eV per atom): 0.246
&SYSTEM
  ibrav = 0, nat = 4, ntyp = 3
/
ATOMIC_SPECIES
Si 28.09 Si.upf
Sb 121.76 Sb.upf
Pt 195.08 Pt.upf
ATOMIC_POSITIONS crystal
Si 0.500 0.793 0.887
Sb 0.000 0.465 0.452
Pt 0.500 0.283 0.228
Pt 0.000 0.960 0.932
CELL_PARAMETERS angstrom
-1.049 -2.738 3.752
3.667 0.508 1.396
-1.153 3.297 2.084

---

! Si2SbPt GGA-PBE optimized geometry; values from VASP
! Formation energy (no corrections) (eV/atom): -0.059
&SYSTEM
  ibrav = 0, nat = 4, ntyp = 3
/
ATOMIC_SPECIES
Si 28.09 Si.upf
Pt 195.08 Pt.upf
Sb 121.76 Sb.upf
ATOMIC_POSITIONS crystal
Si 0.517 0.517 0.517
Pt 0.250 0.250 0.250
Sb 0.750 0.750 0.750
Si 0.983 0.983 0.983
CELL_PARAMETERS angstrom
6.827 -0.002 -0.001
5.830 3.552 -0.001
5.830 1.635 3.153

---

! SiSb3Pt GGA-PBE optimized geometry; values from VASP
! Formation energy (no corrections) (eV/atom): 0.694
! Energy relative to the lowest polymorph listed for this composition (eV per atom): 0.000
&SYSTEM
  ibrav = 0, nat = 5, ntyp = 3
/
ATOMIC_SPECIES
Sb 121.76 Sb.upf
Si 28.09 Si.upf
Pt 195.08 Pt.upf
ATOMIC_POSITIONS crystal
Sb 0.000 0.000 0.500
Si 0.500 0.500 0.500
Pt 0.000 0.000 0.000
Sb 0.000 0.500 0.000
Sb 0.500 0.000 0.000
CELL_PARAMETERS angstrom
-3.379 -2.693 2.991
4.024 -2.168 2.594
-0.096 3.958 3.456

---

! Si2SbPt2 GGA-PBE optimized geometry; values from VASP
! Formation energy (no corrections) (eV/atom): -0.372
! Energy relative to the lowest polymorph listed for this composition (eV per atom): 0.000
&SYSTEM
  ibrav = 0, nat = 5, ntyp = 3
/
ATOMIC_SPECIES
Si 28.09 Si.upf
Pt 195.08 Pt.upf
Sb 121.76 Sb.upf
ATOMIC_POSITIONS crystal
Si 0.750 0.250 0.500
Pt 0.373 0.373 0.254
Si 0.250 0.750 0.500
Pt 0.627 0.627 0.746
Sb 0.000 0.000 0.000
CELL_PARAMETERS angstrom
3.910 0.000 0.000
0.000 3.910 0.000
1.955 1.955 5.827

---

! Si2SbPt GGA-PBE optimized geometry; values from VASP
! Formation energy (no corrections) (eV/atom): 0.217
&SYSTEM
  ibrav = 0, nat = 4, ntyp = 3
/
ATOMIC_SPECIES
Si 28.09 Si.upf
Pt 195.08 Pt.upf
Sb 121.76 Sb.upf
ATOMIC_POSITIONS crystal
Si 0.532 0.532 0.000
Pt 0.750 0.250 0.500
Sb 0.250 0.750 0.500
Si 0.968 0.968 0.000
CELL_PARAMETERS angstrom
-4.998 -2.071 1.910
0.157 -4.275 3.824
1.117 5.433 -1.465

---

! SiSbPt2 GGA-PBE optimized geometry; values from VASP
! Formation energy (no corrections) (eV/atom): 0.204
! Energy relative to the lowest polymorph listed for this composition (eV per atom): 0.739
&SYSTEM
  ibrav = 0, nat = 4, ntyp = 3
/
ATOMIC_SPECIES
Pt 195.08 Pt.upf
Si 28.09 Si.upf
Sb 121.76 Sb.upf
ATOMIC_POSITIONS crystal
Pt 0.000 0.000 0.000
Pt 0.250 0.250 0.250
Si 0.750 0.750 0.750
Sb 0.500 0.500 0.500
CELL_PARAMETERS angstrom
-0.101 -1.105 4.511
-2.750 -3.434 1.489
1.860 -4.001 1.453

---

The records above give, respectively, energy values of -4.92; -3.51; -5.99; -7.08; -4.50; -5.31; -5.31; -5.66; -5.94; -5.57; -5.47; -5.16; -5.31; -5.51; -5.43; -5.64; -5.83; -5.75; -4.94; -5.54; -5.01; -5.82; -5.70; -5.31; -4.07; -5.78; -5.04; -5.20 eV/atom.
The records above give, respectively, total moment values of 0.0; 0.0; 0.0; 0.0; 2.7; 0.0; 0.0; 0.0; 0.0; 0.0; 0.0; 0.0; 0.0; 0.0; 0.0; 0.0; 0.0; 0.0; 0.0; 0.0; 0.0; 0.0; 0.0; 0.0; 0.0; 0.0; 0.0; 0.0 μB per cell.